DFT (PBE with a Hubbard U) results for a relaxed Tl2NiTeO6 crystal.

Mass density   7.18 g cm⁻³
E   -4.79 eV/atom

a = 5.3557 Å, b = 5.6620 Å, c = 6.1967 Å
α = 116.17°, β = 106.52°, γ = 90.32°
Closest atoms and distances in Å follow each position.
Space group P1 (No. 1)
One atom of each set of equivalent atoms:
Tl1 0.0000 0.0000 0.0000 (multiplicity 1)  5 O 2.16-2.40
Tl2 0.4127 0.4986 0.9997 (multiplicity 1)  4 O 2.15-2.32
Ni1 0.2247 0.7967 0.5119 (multiplicity 1)  4 O 1.95-2.00
Te1 0.7074 0.3536 0.5011 (multiplicity 1)  4 O 1.94-2.08
O1 0.0115 0.6231 0.6317 (multiplicity 1)  1 Te 1.94, 1 Ni 1.98
O2 0.1335 0.1315 0.7522 (multiplicity 1)  1 Ni 2.00, 1 Tl 2.18
O3 0.2736 0.8683 0.2448 (multiplicity 1)  1 Ni 1.95, 1 Tl 2.18
O4 0.3933 0.4757 0.3592 (multiplicity 1)  1 Te 1.95, 1 Ni 2.00
O5 0.6690 0.6248 0.8461 (multiplicity 1)  1 Te 2.08, 1 Tl 2.15
O6 0.7334 0.2614 0.1485 (multiplicity 1)  1 Te 2.06, 1 Tl 2.16